# 1
This record from the Alexandria database describes a geometry-optimized Tl3SiRh structure. The functional is PBE.

Its uncorrected formation energy is 4.8 eV per formula unit. The value obtained for the total moment is 0.001 μB/cell. The excess energy over the best structure of this formula in the dataset is 430 meV/atom.

Unit cell a=5.191 b=5.191 c=5.191 alpha=90.00 beta=90.00 gamma=90.00
Element x y z (fractional)
Tl  0.000  0.000  0.500
Tl  0.000  0.500  0.000
Tl  0.500  0.000  0.000
Si  0.000  0.000  0.000
Rh  0.500  0.500  0.500


# 2
This record from the Alexandria database describes a geometry-optimized Pr3ScIn12 structure. The functional is PBE.

The value obtained for the total moment is 0.000 μB/cell. The value obtained for the formation energy is -0.424 eV per atom.

Unit cell a=4.686 b=4.686 c=18.789 alpha=90.00 beta=90.00 gamma=90.00
Element x y z (fractional)
Pr  0.000  0.000  0.000
Pr  0.000  0.000  0.256
Pr  0.000  0.000  0.744
Sc  0.000  0.000  0.500
In  0.000  0.500  0.128
In  0.000  0.500  0.384
In  0.000  0.500  0.616
In  0.000  0.500  0.872
In  0.500  0.000  0.128
In  0.500  0.000  0.384
In  0.500  0.000  0.616
In  0.500  0.000  0.872
In  0.500  0.500  0.000
In  0.500  0.500  0.253
In  0.500  0.500  0.500
In  0.500  0.500  0.747


# 3
This record from the Alexandria database describes a geometry-optimized Os2RhCl structure. The functional is PBE.

Its uncorrected formation energy is 4.8 eV per formula unit. The value obtained for the total moment is 0.000 μB/cell. The excess energy over the best structure of this formula in the dataset is 767 meV/atom.

Unit cell a=4.703 b=4.703 c=2.732 alpha=90.00 beta=90.00 gamma=102.66
Element x y z (fractional)
Os  0.000  0.500  0.000
Os  0.500  0.000  0.000
Rh  0.000  0.000  0.500
Cl  0.500  0.500  0.500


# 4
This record from the Alexandria database describes a geometry-optimized BeIrSe2N structure. The functional is PBE.

Its uncorrected formation energy is 3.3 eV per formula unit. The value obtained for the total moment is 0.000 μB/cell. The excess energy over the best structure of this formula in the dataset is 0 meV/atom.

Unit cell a=4.830 b=4.830 c=3.022 alpha=90.00 beta=90.00 gamma=90.00
Element x y z (fractional)
Be  0.000  0.000  0.000
Ir  0.500  0.500  0.500
Se  0.000  0.500  0.000
Se  0.500  0.000  0.000
N  0.000  0.000  0.500


# 5
This record from the Alexandria database describes a geometry-optimized Li2TmTlCl6 structure. The functional is PBE.

Its uncorrected formation energy is -18.6 eV per formula unit. The value obtained for the total moment is 0.000 μB/cell.

Unit cell a=8.569 b=8.569 c=8.569 alpha=45.19 beta=45.19 gamma=45.19
Element x y z (fractional)
Li  0.172  0.172  0.172
Li  0.828  0.828  0.828
Tm  0.500  0.500  0.500
Tl  0.000  0.000  0.000
Cl  0.106  0.437  0.771
Cl  0.229  0.894  0.563
Cl  0.437  0.771  0.106
Cl  0.563  0.229  0.894
Cl  0.771  0.106  0.437
Cl  0.894  0.563  0.229


# 6
This record from the Alexandria database describes a geometry-optimized CeLuSn2 structure. The functional is PBE.

The value obtained for the total moment is 0.861 μB/cell. The value obtained for the formation energy is -0.415 eV per atom.

Unit cell a=10.058 b=10.058 c=10.058 alpha=20.69 beta=20.69 gamma=20.69
Element x y z (fractional)
Ce  0.000  0.000  0.000
Lu  0.500  0.500  0.500
Sn  0.246  0.246  0.246
Sn  0.754  0.754  0.754


How do the records compare in DFT total energy? In the order shown, they have -15.113 -60.318 -26.850 -24.591 -40.324 -20.121 eV per formula unit.